Entry 1:
This record from the Alexandria database describes a relaxed structure of Sr2MgAuO4. The functional is PBE-GGA.

Unit cell a=5.4767 b=5.4767 c=5.4767 alpha=111.15 beta=111.15 gamma=106.16
Closest atoms and distances in Å follow each position.
Fractional positions:
Sr 0.0000 0.0000 0.0000  4 O 2.60
Sr 0.7500 0.2500 0.5000  4 O 2.41
Mg 0.5000 0.5000 0.0000  4 O 2.01
Au 0.2500 0.7500 0.5000  4 O 2.20
O 0.1433 0.1184 0.6378  1 Mg 2.01, 1 Au 2.20
O 0.4806 0.5055 0.3622  1 Mg 2.01, 1 Au 2.20
O 0.4945 0.8567 0.9751  1 Mg 2.01, 1 Au 2.20
O 0.8816 0.5194 0.0249  1 Mg 2.01, 1 Au 2.20

Computed properties:
* symmetry: I-4, No. 82
* E_form (uncorrected): -1435 kJ/mol of formula units
* theoretical density: 6.062 g/cm³
* crystal system: tetragonal

Entry 2:
This record from the Alexandria database describes a relaxed structure of Mg2TcAuO. The functional is PBE-GGA.

Unit cell a=5.1180 b=5.1180 c=4.7918 alpha=90.00 beta=90.00 gamma=90.00
Closest atoms and distances in Å follow each position.
Fractional positions:
Mg 0.0000 0.5000 0.0000  2 Tc 2.56
Mg 0.5000 0.0000 0.0000  2 Tc 2.56
Tc 0.0000 0.0000 0.0000  2 Au 2.40, 4 Mg 2.56
Au 0.0000 0.0000 0.5000  2 Tc 2.40
O 0.5000 0.5000 0.5000  8 Mg 3.51, 4 Au 3.62

Computed properties:
* symmetry: P4/mmm, No. 123
* E_form (uncorrected): 539 kJ/mol of formula units
* theoretical density: 4.757 g/cm³
* crystal system: tetragonal

Entry 3:
This record from the Alexandria database describes a relaxed structure of MgTc2AuO. The functional is PBE-GGA.

Unit cell a=4.6275 b=4.6275 c=4.5697 alpha=90.00 beta=90.00 gamma=90.00
Closest atoms and distances in Å follow each position.
Fractional positions:
Mg 0.0000 0.0000 0.0000  2 Au 2.28, 4 Tc 2.31
Tc 0.0000 0.5000 0.0000  2 Mg 2.31
Tc 0.5000 0.0000 0.0000  2 Mg 2.31
Au 0.0000 0.0000 0.5000  2 Mg 2.28
O 0.5000 0.5000 0.5000  8 Tc 3.25, 4 Au 3.27

Computed properties:
* symmetry: P4/mmm, No. 123
* E_form (uncorrected): 1115 kJ/mol of formula units
* theoretical density: 7.352 g/cm³
* crystal system: tetragonal

Entry 4:
This record from the Alexandria database describes a relaxed structure of MgTi2AuO. The functional is PBE-GGA.

Unit cell a=4.0943 b=4.0943 c=4.3350 alpha=90.00 beta=90.00 gamma=90.00
Closest atoms and distances in Å follow each position.
Fractional positions:
Mg 0.0000 0.0000 0.0000  2 O 2.17
Ti 0.0000 0.5000 0.5000  2 O 2.05
Ti 0.5000 0.0000 0.5000  2 O 2.05
Au 0.5000 0.5000 0.0000  4 Mg 2.90, 8 Ti 2.98
O 0.0000 0.0000 0.5000  4 Ti 2.05, 2 Mg 2.17

Computed properties:
* symmetry: P4/mmm, No. 123
* E_form (uncorrected): -580 kJ/mol of formula units
* theoretical density: 7.609 g/cm³
* crystal system: tetragonal

Q: What is the formula in the third record?
A: MgTc2AuO